# CePmTmPb | Alexandria | PBE-GGA | optimized geometry
# M_tot: 0.6 Bohr magnetons per cell
# calculated formation energy: -0.054 eV/atom
# crystal system: cubic
# space-group type: F-43m
# electronic total energy: -19.08 eV for the cell shown
data_CePmTmPb
_space_group_name_H-M_alt 'P 1'
_space_group_IT_number 1
_space_group_name_Hall 'P 1'
_cell_length_a 5.4690
_cell_length_b 5.4690
_cell_length_c 5.4690
_cell_angle_alpha 60.00
_cell_angle_beta 60.00
_cell_angle_gamma 60.00
loop_
_atom_site_label
_atom_site_fract_x
_atom_site_fract_y
_atom_site_fract_z
Pb1 0.2500 0.2500 0.2500
Tm1 0.5000 0.5000 0.5000
Ce1 0.7500 0.7500 0.7500
Pm1 0.0000 0.0000 0.0000